Record 1
A relaxed Mn2CdTe crystal, computed with GGA-PBE.

Computed properties:
The value obtained for the total moment is 7.6 μB per formula unit. The value obtained for the uncorrected formation energy is 0.291 eV/atom. The crystal system is orthorhombic.

a = 3.560 Å, b = 3.584 Å, c = 6.047 Å
α = 90.00°, β = 90.00°, γ = 90.00°
Space group Pmmm (No. 47)
One atom of each set of equivalent atoms:
Mn 0.000 0.000 0.245
Cd 0.500 0.500 0.500
Te 0.500 0.500 0.000

Record 2
A relaxed Mn2CdTe crystal, computed with GGA-PBE.

Computed properties:
The value obtained for the total moment is 7.7 μB per formula unit. The value obtained for the uncorrected formation energy is 0.603 eV/atom. The crystal system is cubic.

a = 6.898 Å, b = 6.898 Å, c = 6.898 Å
α = 90.00°, β = 90.00°, γ = 90.00°
Space group F-43m (No. 216)
One atom of each set of equivalent atoms:
Mn 0.000 0.000 0.000
Mn 0.250 0.250 0.250
Cd 0.250 0.250 0.750
Te 0.000 0.000 0.500

Record 3
A relaxed Mn3CdTe4 crystal, computed with GGA-PBE.

Computed properties:
The value obtained for the total moment is 15.0 μB per formula unit. The value obtained for the uncorrected formation energy is -0.156 eV/atom. The crystal system is trigonal.

a = 4.5577 Å, b = 4.5577 Å, c = 44.3531 Å
α = 90.00°, β = 90.00°, γ = 120.00°
Space group R3m (No. 160, hexagonal axes)
One atom of each set of equivalent atoms:
Mn 0.0000 0.0000 0.0000
Mn 0.0000 0.0000 0.2513
Mn 0.0000 0.0000 0.7485
Cd 0.0000 0.0000 0.5009
Te 0.0000 0.0000 0.0623
Te 0.0000 0.0000 0.3135
Te 0.0000 0.0000 0.5654
Te 0.0000 0.0000 0.8101

Record 4
A relaxed YMnCdTe2 crystal, computed with GGA-PBE.

Computed properties:
The value obtained for the total moment is 3.5 μB per formula unit. The value obtained for the uncorrected formation energy is -0.085 eV/atom. The crystal system is tetragonal.

a = 5.288 Å, b = 5.288 Å, c = 4.962 Å
α = 90.00°, β = 90.00°, γ = 90.00°
Space group P4/mmm (No. 123)
One atom of each set of equivalent atoms:
Y 0.000 0.000 0.000
Mn 0.500 0.500 0.500
Cd 0.500 0.500 0.000
Te 0.000 0.500 0.500

Record 5
A relaxed ZrMnCdTe2 crystal, computed with GGA-PBE.

Computed properties:
The value obtained for the total moment is 3.5 μB per formula unit. The value obtained for the uncorrected formation energy is 1.061 eV/atom. The crystal system is tetragonal.

a = 5.524 Å, b = 5.524 Å, c = 5.405 Å
α = 90.00°, β = 90.00°, γ = 90.00°
Space group P4/mmm (No. 123)
One atom of each set of equivalent atoms:
Zr 0.000 0.000 0.000
Mn 0.500 0.500 0.000
Cd 0.000 0.000 0.500
Te 0.000 0.500 0.500

Record 6
A relaxed Th5Mn2Cd2 crystal, computed with GGA-PBE.

Computed properties:
The value obtained for the total moment is 0.0 μB per formula unit. As for the formation energy from the elements: 0.03 eV/atom. The crystal system is orthorhombic.

a = 16.366 Å, b = 7.203 Å, c = 8.256 Å
α = 90.00°, β = 90.00°, γ = 90.00°
Space group Cmce (No. 64)
One atom of each set of equivalent atoms:
Th 0.000 0.000 0.000
Th 0.109 0.146 0.328
Mn 0.000 0.155 0.615
Cd 0.217 0.000 0.000

Record 7
A relaxed Th2MnCd crystal, computed with GGA-PBE.

Computed properties:
The value obtained for the total moment is 0.0 μB per formula unit. As for the formation energy from the elements: 0.34 eV/atom. The crystal system is trigonal.

a = 3.9198 Å, b = 3.9198 Å, c = 29.1706 Å
α = 90.00°, β = 90.00°, γ = 120.00°
Space group R-3m (No. 166, hexagonal axes)
One atom of each set of equivalent atoms:
Th 0.0000 0.0000 0.1176
Mn 0.0000 0.0000 0.5000
Cd 0.0000 0.0000 0.0000

Record 8
A relaxed Th3MnCd crystal, computed with GGA-PBE.

Computed properties:
The value obtained for the total moment is 0.0 μB per formula unit. As for the formation energy from the elements: 0.00 eV/atom. The crystal system is cubic.

a = 5.215 Å, b = 5.215 Å, c = 5.215 Å
α = 90.00°, β = 90.00°, γ = 90.00°
Space group Pm-3m (No. 221)
One atom of each set of equivalent atoms:
Th 0.000 0.000 0.500
Mn 0.000 0.000 0.000
Cd 0.500 0.500 0.500

Record 9
A relaxed Th3MnCd crystal, computed with GGA-PBE.

Computed properties:
The value obtained for the total moment is 0.0 μB per formula unit. As for the formation energy from the elements: 0.02 eV/atom. The crystal system is monoclinic.

a = 9.047 Å, b = 6.611 Å, c = 10.513 Å
α = 90.00°, β = 120.02°, γ = 90.00°
Space group P2_1/c (No. 14)
One atom of each set of equivalent atoms:
Th 0.107 0.063 0.312
Th 0.223 0.545 0.554
Th 0.305 0.034 0.702
Mn 0.020 0.190 0.525
Cd 0.484 0.712 0.969

Record 10
A relaxed ThMnCd crystal, computed with GGA-PBE.

Computed properties:
The value obtained for the total moment is 0.0 μB per formula unit. As for the formation energy from the elements: -0.06 eV/atom. The crystal system is orthorhombic.

a = 4.131 Å, b = 17.270 Å, c = 3.829 Å
α = 90.00°, β = 90.00°, γ = 90.00°
Space group Cmcm (No. 63)
One atom of each set of equivalent atoms:
Th 0.000 0.094 0.250
Mn 0.000 0.468 0.250
Cd 0.000 0.295 0.250

Record 11
A relaxed Th2MnCd crystal, computed with GGA-PBE.

Computed properties:
The value obtained for the total moment is 0.0 μB per formula unit. As for the formation energy from the elements: 0.07 eV/atom. The crystal system is tetragonal.

a = 3.374 Å, b = 3.374 Å, c = 8.676 Å
α = 90.00°, β = 90.00°, γ = 90.00°
Space group P4/mmm (No. 123)
One atom of each set of equivalent atoms:
Th 0.000 0.000 0.202
Mn 0.500 0.500 0.000
Cd 0.500 0.500 0.500

Record 12
A relaxed Th6Mn2Cd crystal, computed with GGA-PBE.

Computed properties:
The value obtained for the total moment is 0.2 μB per formula unit. As for the formation energy from the elements: 0.05 eV/atom. The crystal system is orthorhombic.

a = 9.344 Å, b = 9.762 Å, c = 10.607 Å
α = 90.00°, β = 90.00°, γ = 90.00°
Space group Immm (No. 71)
One atom of each set of equivalent atoms:
Th 0.000 0.208 0.237
Th 0.191 0.500 0.172
Th 0.208 0.312 0.500
Mn 0.000 0.340 0.000
Mn 0.000 0.500 0.380
Cd 0.000 0.000 0.000
Cd 0.000 0.000 0.500